A relaxed CaMgCd2 crystal. Source: Alexandria, functional PBE-GGA.

## Properties
Formation energy from the elements in kJ/mol of atoms: -9

Cell: 6.2379 3.6694 9.6262 Å, 90.00 101.71 90.00°
Closest atoms and distances in Å follow each position.
Space group Cm (No. 8)
Asymmetric unit:
1 Ca 0.0000 0.0000 0.0000 [2 per cell]  6 Cd 3.26-3.28, 4 Ca 3.62
2 Mg 0.3377 0.5000 0.4999 [2 per cell]  6 Cd 3.03-3.06
3 Cd 0.0766 0.5000 0.7339 [2 per cell]  3 Mg 3.04-3.05, 3 Ca 3.26-3.28
4 Cd 0.4234 0.0000 0.2661 [2 per cell]  3 Mg 3.03-3.06, 3 Ca 3.26-3.28

A relaxed Sr2TcWS crystal. Source: Alexandria, functional PBE-GGA.

Cell: 5.6049 5.6049 4.4747 Å, 90.00 90.00 90.00°
Closest atoms and distances in Å follow each position.
Space group P4/mmm (No. 123)
Asymmetric unit:
1 Sr 0.0000 0.5000 0.0000 [2 per cell]  2 S 2.80
2 Tc 0.0000 0.0000 0.5000 [1 per cell]  8 Sr 3.59, 4 W 3.96
3 W 0.5000 0.5000 0.5000 [1 per cell]  2 S 2.24
4 S 0.5000 0.5000 0.0000 [1 per cell]  2 W 2.24

Summary of uncorrected energy in eV per atom
-1.446; -5.439
(order as listed above)